# 1
Below is MgMo2AsPt after structural relaxation, with properties calculated at the PBE level.

```
5
Lattice="-2.7559 0.1331 -3.7431 -2.9488 -2.9492 2.0663 -2.3127 3.5950 1.8306" Properties=species:S:1:pos:R:3 pbc="T T T"
Mg -4.0087 0.3894 0.0769
Mo -1.1563 1.7975 0.9153
Mo -1.3779 0.0665 -1.8715
As 0.0000 0.0000 0.0000
Pt -1.4744 -1.4746 1.0331
```

## Properties
Crystal system   tetragonal
N(E_F)   5.43 states/eV per cell
ΔE_f   349 kJ/mol of formula units
Magnetic moment   0.00 μB per formula unit

=====

# 2
Below is MgMoAsSe2 after structural relaxation, with properties calculated at the PBE level.

```
5
Lattice="5.0143 0.0000 0.0000 0.0000 5.0143 0.0000 0.0000 0.0000 4.8510" Properties=species:S:1:pos:R:3 pbc="T T T"
Mg 2.5071 2.5071 2.4255
Mo 0.0000 0.0000 0.0000
As 0.0000 0.0000 2.4255
Se 0.0000 2.5071 0.0000
Se 2.5071 0.0000 0.0000
```

## Properties
Crystal system   tetragonal
N(E_F)   4.57 states/eV per cell
Formation energy from raw total energies   70.9 kJ/mol of formula units
Magnetic moment   0.00 μB per formula unit

=====

# 3
Below is MgSiMoAs2 after structural relaxation, with properties calculated at the PBE level.

```
5
Lattice="-0.4949 2.0230 4.3377 -5.0910 0.5251 -0.8258 -0.7616 -4.3386 1.9365" Properties=species:S:1:pos:R:3 pbc="T T T"
Mg -2.5455 0.2626 -0.4129
Mo 0.0000 0.0000 0.0000
Si -3.1738 -0.8952 2.7242
As -0.3808 -2.1693 0.9683
As -0.2475 1.0115 2.1689
```

## Properties
Crystal system   tetragonal
N(E_F)   1.94 states/eV per cell
Formation energy from raw total energies   336.9 kJ/mol of formula units
Magnetic moment   0.00 μB per formula unit

=====

- Which formula does entry 3 have?
  MgSiMoAs2